Below is crystalline MoPt2Br at its relaxed geometry, with properties calculated at the PBE level.

a b c (Å): 4.550 4.550 4.550
angles (deg): 60.00 60.00 60.00
Sites, in units of the cell vectors:
1 Mo 0.750 0.750 0.750
2 Br 0.000 0.000 0.000
3 Pt 0.500 0.500 0.500
4 Pt 0.250 0.250 0.250

Properties
ΔE to the lowest computed polymorph (meV/atom): 476
Density (g/cm3): 14.1
E_form (uncorrected) (meV per atom): 523
Volume (Å³/atom): 16.65



Below is crystalline SmEr2Al6 at its relaxed geometry, with properties calculated at the PBE level.

a b c (Å): 3.482 7.917 7.917
angles (deg): 120.00 90.00 90.00
Sites, in units of the cell vectors:
1 Sm 0.000 0.000 0.000
2 Er 0.000 0.667 0.333
3 Er 0.000 0.333 0.667
4 Al 0.500 0.335 0.000
5 Al 0.500 0.000 0.665
6 Al 0.500 0.665 0.000
7 Al 0.500 0.335 0.335
8 Al 0.500 0.000 0.335
9 Al 0.500 0.665 0.665

Properties
ΔE to the lowest computed polymorph (meV/atom): 0
Density (g/cm3): 5.7
Formation enthalpy at 0 K (eV/f.u.): -4.4
Volume (Å³/atom): 21.00



Below is crystalline PrTm3Tl3 at its relaxed geometry, with properties calculated at the PBE level.

a b c (Å): 5.230 9.416 9.416
angles (deg): 120.00 90.00 90.00
Sites, in units of the cell vectors:
1 Tm 0.750 0.227 0.228
2 Tm 0.750 0.772 0.999
3 Tm 0.250 0.228 0.001
4 Tm 0.250 0.999 0.227
5 Tm 0.750 0.001 0.773
6 Tm 0.250 0.773 0.772
7 Tl 0.750 0.447 0.072
8 Tl 0.250 0.375 0.447
9 Tl 0.750 0.625 0.553
10 Tl 0.250 0.072 0.625
11 Tl 0.750 0.928 0.375
12 Tl 0.250 0.553 0.928
13 Pr 0.750 0.333 0.667
14 Pr 0.250 0.667 0.333

Properties
Density (g/cm3): 10.4
Formation enthalpy at 0 K (eV/f.u.): -1.7
Volume (Å³/atom): 28.68



Below is crystalline La2Zn2HgPd5 at its relaxed geometry, with properties calculated at the PBE level.

a b c (Å): 3.882 9.970 9.970
angles (deg): 90.00 90.00 90.00
Sites, in units of the cell vectors:
1 La 0.000 0.181 0.319
2 La 0.000 0.319 0.819
3 La 0.000 0.819 0.681
4 La 0.000 0.681 0.181
5 Pd 0.500 0.934 0.211
6 Pd 0.500 0.000 0.500
7 Pd 0.500 0.066 0.789
8 Pd 0.500 0.789 0.934
9 Pd 0.500 0.211 0.066
10 Pd 0.500 0.711 0.434
11 Pd 0.500 0.289 0.566
12 Pd 0.500 0.434 0.289
13 Pd 0.500 0.500 0.000
14 Pd 0.500 0.566 0.711
15 Zn 0.000 0.616 0.884
16 Zn 0.000 0.384 0.116
17 Zn 0.000 0.884 0.384
18 Zn 0.000 0.116 0.616
19 Hg 0.000 0.000 0.000
20 Hg 0.000 0.500 0.500

Properties
Density (g/cm3): 9.8
Formation enthalpy at 0 K (eV/f.u.): -6.1
Volume (Å³/atom): 19.29



Summary of DFT total energy in eV per cell
-22.494 -40.678 -54.018 -89.618
(order as listed above)